Hf2HRu | PBE | relaxed Values from VASP.

Values from the calculation:
As for the calculated volume: 15.49 Å³ per atom. Its space group is C2/m, No. 12. The value obtained for the total magnetization is 0.00 μB per formula unit. The calculation puts the relative energy among the computed polymorphs at 0.000 eV per atom. The crystal system is monoclinic.

Cell and atoms, written as Quantum ESPRESSO input:
```
&SYSTEM
  ibrav = 0, nat = 8, ntyp = 3
/
ATOMIC_SPECIES
Hf 178.49 Hf.upf
H 1.01 H.upf
Ru 101.07 Ru.upf
CELL_PARAMETERS angstrom
6.8743 -1.6314 0.0000
6.8743 1.6314 0.0000
-2.7054 0.0000 5.5266
ATOMIC_POSITIONS angstrom
Hf -0.6751 0.0000 1.4087
Hf 3.2082 0.0000 1.5905
Hf 7.8349 0.0000 3.9361
Hf 11.7182 0.0000 4.1179
H -0.1525 0.0000 3.3610
H 11.1956 0.0000 2.1656
Ru 2.7887 0.0000 4.8629
Ru 8.2544 0.0000 0.6638
```